Compound: TbYHgPd
Source: the Alexandria database
Functional: PBE
Structure: optimized geometry Values from VASP.

The structure in Quantum ESPRESSO input format:
```
&SYSTEM
  ibrav = 0, nat = 4, ntyp = 4
/
ATOMIC_SPECIES
Tb 158.93 Tb.upf
Y 88.91 Y.upf
Hg 200.59 Hg.upf
Pd 106.42 Pd.upf
ATOMIC_POSITIONS angstrom
Tb 0.000 0.000 0.000
Y 0.000 0.000 3.393
Hg 1.800 1.800 5.376
Pd 1.800 1.800 1.680
CELL_PARAMETERS angstrom
3.600 0.000 0.000
0.000 3.600 0.000
0.000 0.000 7.372
```

Computed properties:
- formation energy (eV per atom) = -0.68
- D(E_F) (states/eV/f.u.) = 3.0
- excess energy over the best structure of this formula in the dataset (eV/atom) = 0.000
- M_tot (μB/f.u.) = 0.000



Compound: LaPrRu
Source: the Alexandria database
Functional: PBE
Structure: optimized geometry Values from VASP.

The structure in Quantum ESPRESSO input format:
```
&SYSTEM
  ibrav = 0, nat = 3, ntyp = 3
/
ATOMIC_SPECIES
La 138.91 La.upf
Pr 140.91 Pr.upf
Ru 101.07 Ru.upf
ATOMIC_POSITIONS angstrom
La 0.000 0.000 0.000
Pr 3.518 3.518 3.518
Ru 1.759 1.759 1.759
CELL_PARAMETERS angstrom
0.000 3.518 3.518
3.518 0.000 3.518
3.518 3.518 0.000
```

Computed properties:
- formation energy (eV per atom) = -0.16
- D(E_F) (states/eV/f.u.) = 2.3
- excess energy over the best structure of this formula in the dataset (eV/atom) = 0.041
- M_tot (μB/f.u.) = 0.000



Compound: TmZn2Fe9
Source: the Alexandria database
Functional: PBE
Structure: optimized geometry Values from VASP.

The structure in Quantum ESPRESSO input format:
```
&SYSTEM
  ibrav = 0, nat = 24, ntyp = 3
/
ATOMIC_SPECIES
Tm 168.93 Tm.upf
Zn 65.41 Zn.upf
Fe 55.84 Fe.upf
ATOMIC_POSITIONS angstrom
Tm 0.000 0.000 0.000
Tm 4.082 4.082 0.000
Zn 0.967 3.115 0.000
Zn 3.115 7.197 0.000
Zn 5.049 0.967 0.000
Zn 7.197 5.049 0.000
Fe 0.000 4.082 2.400
Fe 0.534 1.726 2.400
Fe 1.457 5.539 1.160
Fe 1.457 5.539 3.639
Fe 1.726 7.630 2.400
Fe 2.356 3.548 2.400
Fe 2.625 1.457 1.160
Fe 2.625 1.457 3.639
Fe 3.548 5.808 2.400
Fe 4.082 0.000 2.400
Fe 4.616 2.356 2.400
Fe 5.539 6.707 1.160
Fe 5.539 6.707 3.639
Fe 5.808 4.616 2.400
Fe 6.438 0.534 2.400
Fe 6.707 2.625 1.160
Fe 6.707 2.625 3.639
Fe 7.630 6.438 2.400
CELL_PARAMETERS angstrom
8.164 0.000 0.000
0.000 8.164 0.000
0.000 0.000 4.799
```

Computed properties:
- formation energy (eV per atom) = 0.02
- D(E_F) (states/eV/f.u.) = 16.7
- M_tot (μB/f.u.) = 18.700



- The highest M_tot belongs to which entry?
  TmZn2Fe9



- Which of these has the lowest formation energy?
  TbYHgPd